Model 1:
Entry from the Alexandria database: a relaxed structure of AgPt2Au2 (PBE-GGA).

Lattice parameters (Å, degrees): 3.7025 3.7025 7.4395 75.59 75.59 90.00
Closest atoms and distances in Å follow each position.
Atoms (fractional coordinates):
1 Au 0.4034 0.4034 0.1933  1 Au 2.69, 4 Pt 2.83, 4 Ag 2.94
2 Au 0.5966 0.5966 0.8067  1 Au 2.69, 4 Pt 2.83, 4 Ag 2.94
3 Ag 0.0000 0.0000 0.0000  8 Au 2.94
4 Pt 0.7500 0.2500 0.5000  4 Pt 2.62, 4 Au 2.83
5 Pt 0.2500 0.7500 0.5000  4 Pt 2.62, 4 Au 2.83

Spin magnetization (Bohr magnetons per cell): 0.00
Symmetry: No. 139
Volume (Å³ per atom): 19.1
DOS(E_F) (states/eV/f.u.): 3.68

***

Model 2:
Entry from the Alexandria database: a relaxed structure of AgPt2Au2 (PBE-GGA).

Lattice parameters (Å, degrees): 7.7375 7.7375 3.0312 90.00 90.00 90.00
Closest atoms and distances in Å follow each position.
Atoms (fractional coordinates):
1 Au 0.1719 0.6719 0.5000  6 Pt 2.67-2.79
2 Au 0.6719 0.8281 0.5000  6 Pt 2.67-2.79
3 Au 0.8281 0.3281 0.5000  6 Pt 2.67-2.79
4 Au 0.3281 0.1719 0.5000  6 Pt 2.67-2.79
5 Ag 0.0000 0.0000 0.0000  2 Ag 3.03, 4 Pt 3.05, 8 Au 3.24
6 Ag 0.5000 0.5000 0.0000  2 Ag 3.03, 4 Pt 3.05, 8 Au 3.24
7 Pt 0.3729 0.8729 0.0000  6 Au 2.67-2.79, 1 Pt 2.78
8 Pt 0.8729 0.6271 0.0000  6 Au 2.67-2.79, 1 Pt 2.78
9 Pt 0.6271 0.1271 0.0000  6 Au 2.67-2.79, 1 Pt 2.78
10 Pt 0.1271 0.3729 0.0000  6 Au 2.67-2.79, 1 Pt 2.78

Spin magnetization (Bohr magnetons per cell): 0.00
Symmetry: No. 127
Volume (Å³ per atom): 18.1
DOS(E_F) (states/eV/f.u.): 4.34

***

Most stable pick: model 2. Distance to second place: 66 meV/atom.

***

Model 1:
Entry from the Alexandria database: a relaxed structure of Ag8Pt2Au (PBE-GGA).

Lattice parameters (Å, degrees): 4.0968 6.4590 7.7370 103.92 105.35 90.00
Closest atoms and distances in Å follow each position.
Atoms (fractional coordinates):
1 Ag 0.5929 0.4580 0.1858  3 Pt 2.86-2.90, 8 Ag 2.87-2.97, 1 Au 2.94
2 Ag 0.3162 0.0893 0.6323  8 Ag 2.88-2.91, 3 Pt 2.92-2.93, 1 Au 2.94
3 Ag 0.1377 0.1866 0.2754  3 Pt 2.85-2.90, 7 Ag 2.88-2.96, 2 Au 2.94
4 Ag 0.0482 0.7279 0.0964  9 Ag 2.87-2.97, 2 Au 2.90, 1 Pt 2.91
5 Ag 0.8623 0.8134 0.7246  3 Pt 2.85-2.90, 7 Ag 2.88-2.96, 2 Au 2.94
6 Ag 0.6838 0.9107 0.3677  8 Ag 2.88-2.91, 3 Pt 2.92-2.93, 1 Au 2.94
7 Ag 0.4071 0.5420 0.8142  3 Pt 2.86-2.90, 8 Ag 2.87-2.97, 1 Au 2.94
8 Ag 0.9518 0.2721 0.9036  9 Ag 2.87-2.97, 2 Au 2.90, 1 Pt 2.91
9 Pt 0.2285 0.6301 0.4570  2 Pt 2.82, 10 Ag 2.85-2.93
10 Pt 0.7715 0.3699 0.5430  2 Pt 2.82, 10 Ag 2.85-2.93
11 Au 0.5000 0.0000 0.0000  12 Ag 2.90-2.94

Spin magnetization (Bohr magnetons per cell): 0.00
Symmetry: No. 12
Volume (Å³ per atom): 17.4
DOS(E_F) (states/eV/f.u.): 4.06

***

Model 2:
Entry from the Alexandria database: a relaxed structure of Ag8Pt2Au (PBE-GGA).

Lattice parameters (Å, degrees): 5.1465 7.7161 7.4894 58.99 72.23 53.66
Closest atoms and distances in Å follow each position.
Atoms (fractional coordinates):
1 Ag 0.8894 0.0964 0.2308  6 Ag 2.75-2.96, 2 Pt 2.79-2.82, 1 Au 2.94
2 Ag 0.8894 0.3272 0.7692  6 Ag 2.75-2.96, 2 Pt 2.79-2.82, 1 Au 2.94
3 Ag 0.3211 0.4097 0.0000  1 Au 2.72, 6 Ag 2.72-2.89, 2 Pt 2.83
4 Ag 0.5000 0.7816 0.4368  1 Au 2.80, 4 Pt 2.81-3.14, 4 Ag 2.87
5 Ag 0.5000 0.2184 0.5632  1 Au 2.80, 4 Pt 2.81-3.14, 4 Ag 2.87
6 Ag 0.6789 0.5903 0.0000  1 Au 2.72, 6 Ag 2.72-2.89, 2 Pt 2.83
7 Ag 0.1106 0.6728 0.2308  6 Ag 2.75-2.96, 2 Pt 2.79-2.82, 1 Au 2.94
8 Ag 0.1106 0.9036 0.7692  6 Ag 2.75-2.96, 2 Pt 2.79-2.82, 1 Au 2.94
9 Pt 0.0000 0.3070 0.3861  8 Ag 2.79-2.83
10 Pt 0.0000 0.6930 0.6139  8 Ag 2.79-2.83
11 Au 0.5000 0.0000 0.0000  8 Ag 2.72-2.94

Spin magnetization (Bohr magnetons per cell): 0.00
Symmetry: No. 12
Volume (Å³ per atom): 18.7
DOS(E_F) (states/eV/f.u.): 4.15

***

Most stable pick: model 1. Distance to second place: 183 meV/atom.

***

Model 1:
Entry from the Alexandria database: a relaxed structure of AgPtAu4 (PBE-GGA).

Lattice parameters (Å, degrees): 4.1301 6.4241 4.1898 70.95 90.00 90.00
Closest atoms and distances in Å follow each position.
Atoms (fractional coordinates):
1 Ag 0.0000 0.0000 0.0000  8 Au 2.88, 4 Pt 2.94
2 Pt 0.5000 0.0000 0.5000  8 Au 2.86-2.90, 4 Ag 2.94
3 Au 0.0000 0.3263 0.3366  2 Pt 2.86, 2 Ag 2.88, 8 Au 2.93-2.97
4 Au 0.0000 0.6737 0.6634  2 Pt 2.86, 2 Ag 2.88, 8 Au 2.93-2.97
5 Au 0.5000 0.3309 0.8344  2 Ag 2.88, 2 Pt 2.90, 8 Au 2.93-2.94
6 Au 0.5000 0.6691 0.1656  2 Ag 2.88, 2 Pt 2.90, 8 Au 2.93-2.94

Spin magnetization (Bohr magnetons per cell): 0.00
Symmetry: No. 65
Volume (Å³ per atom): 17.5
DOS(E_F) (states/eV/f.u.): 2.10

***

Model 2:
Entry from the Alexandria database: a relaxed structure of AgPtAu4 (PBE-GGA).

Lattice parameters (Å, degrees): 2.9215 7.6255 9.6319 90.00 90.00 101.04
Closest atoms and distances in Å follow each position.
Atoms (fractional coordinates):
1 Ag 0.7808 0.5615 0.5162  7 Au 2.86-2.93, 3 Pt 2.92-2.98, 2 Ag 2.92
2 Ag 0.2192 0.4385 0.0162  7 Au 2.86-2.93, 3 Pt 2.92-2.98, 2 Ag 2.92
3 Pt 0.6651 0.3303 0.7677  7 Au 2.86-2.91, 3 Ag 2.92-2.98, 2 Pt 2.92
4 Pt 0.3349 0.6697 0.2677  7 Au 2.86-2.91, 3 Ag 2.92-2.98, 2 Pt 2.92
5 Au 0.0011 0.0022 0.2686  2 Pt 2.89, 10 Au 2.92-2.98
6 Au 0.9989 0.9978 0.7686  2 Pt 2.89, 10 Au 2.92-2.98
7 Au 0.8852 0.7705 0.0228  2 Pt 2.88, 2 Ag 2.88, 8 Au 2.92-2.98
8 Au 0.1148 0.2295 0.5228  2 Pt 2.88, 2 Ag 2.88, 8 Au 2.92-2.98
9 Au 0.6708 0.3415 0.2689  2 Pt 2.86, 3 Ag 2.90-2.93, 7 Au 2.92-2.99
10 Au 0.3292 0.6585 0.7689  2 Pt 2.86, 3 Ag 2.90-2.93, 7 Au 2.92-2.99
11 Au 0.4454 0.8908 0.5168  2 Ag 2.86, 1 Pt 2.91, 9 Au 2.92-2.99
12 Au 0.5546 0.1092 0.0168  2 Ag 2.86, 1 Pt 2.91, 9 Au 2.92-2.99

Spin magnetization (Bohr magnetons per cell): 0.00
Symmetry: No. 36
Volume (Å³ per atom): 17.6
DOS(E_F) (states/eV/f.u.): 2.14

***

Model 3:
Entry from the Alexandria database: a relaxed structure of AgPtAu4 (PBE-GGA).

Lattice parameters (Å, degrees): 5.4373 5.4373 5.4373 60.00 60.00 60.00
Closest atoms and distances in Å follow each position.
Atoms (fractional coordinates):
1 Ag 0.0000 0.0000 0.0000  12 Au 3.19, 4 Pt 3.33
2 Pt 0.7500 0.7500 0.7500  12 Au 3.19, 4 Ag 3.33
3 Au 0.8749 0.3750 0.3750  6 Au 2.72
4 Au 0.3750 0.3750 0.8749  6 Au 2.72
5 Au 0.3750 0.8749 0.3750  6 Au 2.72
6 Au 0.3750 0.3750 0.3750  6 Au 2.72

Spin magnetization (Bohr magnetons per cell): 0.00
Symmetry: No. 216
Volume (Å³ per atom): 18.9
DOS(E_F) (states/eV/f.u.): 1.79

***

Most stable pick: model 1. Distance to second place: 7 meV/atom.

***

Model 1:
Entry from the Alexandria database: a relaxed structure of Ag2PtAu2 (PBE-GGA).

Lattice parameters (Å, degrees): 5.5908 7.6796 11.4445 40.32 144.31 119.42
Closest atoms and distances in Å follow each position.
Atoms (fractional coordinates):
1 Ag 0.8363 0.9160 0.0857  3 Pt 2.88-2.91, 5 Au 2.88-2.97, 4 Ag 2.90-2.93
2 Ag 0.1637 0.0840 0.9143  3 Pt 2.88-2.91, 5 Au 2.88-2.97, 4 Ag 2.90-2.93
3 Ag 0.6388 0.7141 0.8866  6 Au 2.83-3.00, 3 Ag 2.90-2.91, 3 Pt 2.92-2.99
4 Ag 0.3612 0.2859 0.1134  6 Au 2.83-3.00, 3 Ag 2.90-2.91, 3 Pt 2.92-2.99
5 Pt 0.2450 0.3232 0.4889  1 Pt 2.80, 5 Au 2.82-2.93, 6 Ag 2.88-2.99
6 Pt 0.7550 0.6768 0.5111  1 Pt 2.80, 5 Au 2.82-2.93, 6 Ag 2.88-2.99
7 Au 0.0346 0.1126 0.2952  6 Ag 2.83-3.00, 2 Pt 2.88, 4 Au 2.92-2.98
8 Au 0.9654 0.8874 0.7048  6 Ag 2.83-3.00, 2 Pt 2.88, 4 Au 2.92-2.98
9 Au 0.4353 0.5186 0.6826  3 Pt 2.82-2.93, 5 Ag 2.88-2.93, 4 Au 2.92-2.98
10 Au 0.5647 0.4814 0.3174  3 Pt 2.82-2.93, 5 Ag 2.88-2.93, 4 Au 2.92-2.98

Spin magnetization (Bohr magnetons per cell): 0.00
Symmetry: No. 2
Volume (Å³ per atom): 17.5
DOS(E_F) (states/eV/f.u.): 1.53

***

Model 2:
Entry from the Alexandria database: a relaxed structure of Ag2PtAu2 (PBE-GGA).

Lattice parameters (Å, degrees): 5.1999 5.1999 5.3999 118.78 118.78 90.00
Closest atoms and distances in Å follow each position.
Atoms (fractional coordinates):
1 Ag 0.7500 0.2500 0.5000  4 Au 2.69
2 Ag 0.2500 0.7500 0.5000  4 Au 2.69
3 Pt 0.0000 0.0000 0.0000  2 Au 2.66
4 Au 0.3365 0.3365 0.6729  1 Au 2.59, 1 Pt 2.66, 4 Ag 2.69
5 Au 0.6635 0.6635 0.3271  1 Au 2.59, 1 Pt 2.66, 4 Ag 2.69

Spin magnetization (Bohr magnetons per cell): 0.00
Symmetry: No. 139
Volume (Å³ per atom): 21.4
DOS(E_F) (states/eV/f.u.): 2.56

***

Model 3:
Entry from the Alexandria database: a relaxed structure of Ag2PtAu2 (PBE-GGA).

Lattice parameters (Å, degrees): 7.7837 7.7837 3.0170 90.00 90.00 90.00
Closest atoms and distances in Å follow each position.
Atoms (fractional coordinates):
1 Au 0.1693 0.6693 0.5000  6 Ag 2.68-2.79
2 Au 0.6693 0.8307 0.5000  6 Ag 2.68-2.79
3 Au 0.8307 0.3307 0.5000  6 Ag 2.68-2.79
4 Au 0.3307 0.1693 0.5000  6 Ag 2.68-2.79
5 Ag 0.3707 0.8707 0.0000  6 Au 2.68-2.79, 1 Ag 2.85
6 Ag 0.8707 0.6293 0.0000  6 Au 2.68-2.79, 1 Ag 2.85
7 Ag 0.6293 0.1293 0.0000  6 Au 2.68-2.79, 1 Ag 2.85
8 Ag 0.1293 0.3707 0.0000  6 Au 2.68-2.79, 1 Ag 2.85
9 Pt 0.0000 0.0000 0.0000  2 Pt 3.02, 4 Ag 3.06, 8 Au 3.26
10 Pt 0.5000 0.5000 0.0000  2 Pt 3.02, 4 Ag 3.06, 8 Au 3.26

Spin magnetization (Bohr magnetons per cell): 0.00
Symmetry: No. 127
Volume (Å³ per atom): 18.3
DOS(E_F) (states/eV/f.u.): 1.94

***

Most stable pick: model 1. Distance to second place: 262 meV/atom.